Compound: Pm8SmY2
Source: Alexandria
Functional: PBE
Structure: optimized geometry

SG: C2/m
Formation energy from the elements (eV per atom): 0.1536
DOS at the Fermi energy (states/eV/atom): 1.563
ΔE to the lowest computed polymorph (meV per atom): 139

a b c (Å): 5.6973 10.3264 10.3264
angles (deg): 40.02 93.25 93.25
Last column: nearest neighbours and their distance in Å.
Fractional coordinates of all 11 atoms:
Pm  0.2693  0.1352  0.6015  4 Pm 3.29-3.64, 2 Y 3.51-3.64, 1 Sm 3.59
Pm  0.2693  0.6015  0.1352  4 Pm 3.29-3.64, 2 Y 3.51-3.64, 1 Sm 3.59
Pm  0.7307  0.8648  0.3985  4 Pm 3.29-3.64, 2 Y 3.51-3.64, 1 Sm 3.59
Pm  0.2364  0.5448  0.5448  1 Pm 3.12, 1 Y 3.31
Pm  0.7307  0.3985  0.8648  4 Pm 3.29-3.64, 2 Y 3.51-3.64, 1 Sm 3.59
Pm  0.2295  0.1868  0.1868  4 Y 3.39-3.58, 4 Pm 3.52-3.64, 1 Sm 3.78
Pm  0.7705  0.8132  0.8132  4 Y 3.39-3.58, 4 Pm 3.52-3.64, 1 Sm 3.78
Pm  0.7636  0.4552  0.4552  1 Pm 3.12, 1 Y 3.31
Sm  0.0000  0.0000  0.0000  10 Pm 3.59-3.86
Y  0.7446  0.2842  0.2842  11 Pm 3.31-3.71
Y  0.2554  0.7158  0.7158  11 Pm 3.31-3.71

---

Compound: Cu2Pd2PtAu2
Source: Alexandria
Functional: PBE
Structure: optimized geometry

SG: C2/m
Formation energy from the elements (eV per atom): -0.0755
DOS at the Fermi energy (states/eV/atom): 0.606

a b c (Å): 3.8973 4.8370 6.2939
angles (deg): 97.48 90.00 113.76
Last column: nearest neighbours and their distance in Å.
Fractional coordinates of all 7 atoms:
Cu  0.5698  0.1396  0.7245  2 Pt 2.74, 4 Pd 2.75-2.79, 5 Au 2.76-2.87, 1 Cu 2.92
Cu  0.4302  0.8604  0.2755  2 Pt 2.74, 4 Pd 2.75-2.79, 5 Au 2.76-2.87, 1 Cu 2.92
Pd  0.7167  0.4334  0.1393  2 Pd 2.74, 4 Cu 2.75-2.79, 3 Pt 2.77-2.79, 3 Au 2.81-2.84
Pd  0.2833  0.5666  0.8607  2 Pd 2.74, 4 Cu 2.75-2.79, 3 Pt 2.77-2.79, 3 Au 2.81-2.84
Pt  0.0000  0.0000  0.0000  4 Cu 2.74, 6 Pd 2.77-2.79, 2 Au 2.80
Au  0.1395  0.2791  0.4275  3 Au 2.75-2.82, 5 Cu 2.76-2.87, 1 Pt 2.80, 3 Pd 2.81-2.84
Au  0.8605  0.7209  0.5725  3 Au 2.75-2.82, 5 Cu 2.76-2.87, 1 Pt 2.80, 3 Pd 2.81-2.84

---

Compound: TePb2AuSe4
Source: Alexandria
Functional: PBE
Structure: optimized geometry

SG: C2/c
DOS at the Fermi energy (states/eV/atom): 0.536
Formation energy (no corrections) (meV per atom): -172

a b c (Å): 8.1391 8.1391 8.9525
angles (deg): 116.57 116.57 90.18
Last column: nearest neighbours and their distance in Å.
Fractional coordinates of all 16 atoms:
Te  0.5000  0.5000  0.5000  4 Se 2.80-2.83
Te  0.0000  0.0000  0.0000  4 Se 2.80-2.83
Pb  0.5000  0.0000  0.0000  6 Se 3.09-3.14
Pb  0.5000  0.0000  0.5000  6 Se 3.09-3.14
Pb  0.0000  0.0000  0.5000  6 Se 3.01-3.11
Pb  0.5000  0.5000  0.0000  6 Se 3.01-3.11
Au  0.0000  0.5000  0.0000  4 Se 2.66-2.69
Au  0.0000  0.5000  0.5000  4 Se 2.66-2.69
Se  0.2485  0.7644  0.0554  1 Au 2.66, 1 Te 2.83
Se  0.7356  0.2515  0.4446  1 Au 2.66, 1 Te 2.83
Se  0.2644  0.7485  0.5554  1 Au 2.66, 1 Te 2.83
Se  0.7515  0.2356  0.9446  1 Au 2.66, 1 Te 2.83
Se  0.8043  0.7656  0.0523  1 Au 2.69, 1 Te 2.80
Se  0.7344  0.6957  0.4477  1 Au 2.69, 1 Te 2.80
Se  0.2656  0.3043  0.5523  1 Au 2.69, 1 Te 2.80
Se  0.1957  0.2344  0.9477  1 Au 2.69, 1 Te 2.80

---

Compound: Rh3C5
Source: Alexandria
Functional: PBE
Structure: optimized geometry

SG: P4/mmm
Formation energy from the elements (eV per atom): 1.0507
DOS at the Fermi energy (states/eV/atom): 0.623
ΔE to the lowest computed polymorph (meV per atom): 80

a b c (Å): 2.9742 2.9742 9.6595
angles (deg): 90.00 90.00 90.00
Last column: nearest neighbours and their distance in Å.
Fractional coordinates of all 8 atoms:
Rh  0.0000  0.0000  0.5000  8 C 2.22
Rh  0.5000  0.5000  0.2231  1 C 1.97
Rh  0.5000  0.5000  0.7769  1 C 1.97
C  0.0000  0.0000  0.0000  2 C 1.31
C  0.0000  0.0000  0.1360  1 C 1.31
C  0.0000  0.0000  0.8640  1 C 1.31
C  0.5000  0.5000  0.4274  1 C 1.40
C  0.5000  0.5000  0.5726  1 C 1.40

---

Compound: Nd2TiZn
Source: Alexandria
Functional: PBE
Structure: optimized geometry

SG: R-3m
Formation energy from the elements (eV per atom): 0.4180
DOS at the Fermi energy (states/eV/atom): 1.373
ΔE to the lowest computed polymorph (meV per atom): 372

a b c (Å): 3.3230 3.3230 11.2458
angles (deg): 81.50 81.50 60.00
Last column: nearest neighbours and their distance in Å.
Fractional coordinates of all 4 atoms:
Zn  0.5000  0.5000  0.5000  6 Nd 3.16, 6 Zn 3.32
Nd  0.0911  0.0911  0.7266  1 Ti 3.03, 3 Zn 3.16, 6 Nd 3.32
Nd  0.9089  0.9089  0.2734  1 Ti 3.03, 3 Zn 3.16, 6 Nd 3.32
Ti  0.0000  0.0000  0.0000  2 Nd 3.03, 6 Ti 3.32

---

Compound: CaPmGaHg
Source: Alexandria
Functional: PBE
Structure: optimized geometry

SG: P4mm
Formation energy from the elements (eV per atom): -0.5235
DOS at the Fermi energy (states/eV/atom): 0.407
ΔE to the lowest computed polymorph (meV per atom): 6

a b c (Å): 3.6629 3.6629 7.7635
angles (deg): 90.00 90.00 90.00
Last column: nearest neighbours and their distance in Å.
Fractional coordinates of all 4 atoms:
Ca  0.0000  0.0000  0.3651  4 Ga 3.20, 4 Hg 3.26
Pm  0.0000  0.0000  0.8437  4 Ga 3.17, 4 Hg 3.32
Ga  0.5000  0.5000  0.6081  4 Pm 3.17, 4 Ca 3.20
Hg  0.5000  0.5000  0.1110  4 Ca 3.26, 4 Pm 3.32